[1]
DFT (PBE) results for a relaxed LaTaIn2 crystal.

Calculated density in Mg/m³: 9.19
Formation enthalpy at 0 K in eV/atom: 0.1830

Cell lengths 3.1579, 3.1579, 9.9527 Å; angles 90.00, 90.00, 90.00 degrees
Space group P4mm (No. 99)
Asymmetric unit:
La 0.0000 0.0000 0.0000 [1 per cell]
Ta 0.5000 0.5000 0.2488 [1 per cell]
In 0.0000 0.0000 0.4606 [1 per cell]
In 0.5000 0.5000 0.7134 [1 per cell]

=====

[2]
DFT (PBE) results for a relaxed Sm6TmCd2 crystal.

Calculated density in Mg/m³: 7.78
Formation enthalpy at 0 K in eV/atom: -0.0616

Cell lengths 15.5107, 11.5645, 6.1906 Å; angles 90.00, 95.29, 90.00 degrees
Space group C2/c (No. 15)
Asymmetric unit:
Sm 0.0559 0.1289 0.0082 [8 per cell]
Sm 0.1178 0.3497 0.3151 [8 per cell]
Sm 0.2229 0.3718 0.8378 [8 per cell]
Tm 0.0000 0.3995 0.7500 [4 per cell]
Cd 0.1643 0.1216 0.5907 [8 per cell]

=====

[3]
DFT (PBE) results for a relaxed Li2CdPb crystal.

Calculated density in Mg/m³: 6.50
Formation enthalpy at 0 K in eV/atom: -0.2345

Cell lengths 4.8056, 4.8056, 7.3839 Å; angles 90.00, 90.00, 90.00 degrees
Space group I-4m2 (No. 119)
Asymmetric unit:
Li 0.0000 0.0000 0.0000 [2 per cell]
Li 0.0000 0.5000 0.2500 [2 per cell]
Cd 0.0000 0.0000 0.5000 [2 per cell]
Pb 0.0000 0.5000 0.7500 [2 per cell]

=====

[4]
DFT (PBE) results for a relaxed Pm2Pr2Sm2Tl crystal.

Calculated density in Mg/m³: 7.61
Formation enthalpy at 0 K in eV/atom: 0.0355

Cell lengths 17.6490, 3.5712, 8.2993 Å; angles 90.00, 116.08, 90.00 degrees
Space group C2/m (No. 12)
Asymmetric unit:
Pm 0.0667 0.0000 0.3852 [4 per cell]
Pr 0.1413 0.0000 0.8932 [4 per cell]
Sm 0.2214 0.5000 0.3038 [4 per cell]
Tl 0.0000 0.5000 0.0000 [2 per cell]

=====

[5]
DFT (PBE) results for a relaxed KGaSbSe3 crystal.

Calculated density in Mg/m³: 3.96
ΔE_f (raw) in eV/atom: -0.58

Cell lengths 8.9349, 4.5858, 9.7578 Å; angles 90.00, 101.12, 90.00 degrees
Space group P2_1/m (No. 11)
Asymmetric unit:
K 0.1677 0.2500 0.2098 [2 per cell]
Ga 0.1092 0.2500 0.5885 [2 per cell]
Sb 0.3515 0.7500 0.8593 [2 per cell]
Se 0.1419 0.2500 0.8481 [2 per cell]
Se 0.1840 0.7500 0.5074 [2 per cell]
Se 0.4202 0.7500 0.1318 [2 per cell]

=====

[6]
DFT (PBE) results for a relaxed Tb3Er5Sc2 crystal.

Calculated density in Mg/m³: 7.87
Formation enthalpy at 0 K in eV/atom: 0.0381

Cell lengths 9.1771, 9.1814, 9.1963 Å; angles 106.58, 106.58, 115.35 degrees
Space group P-1 (No. 2)
Asymmetric unit:
Tb 0.0785 0.0272 0.3503 [2 per cell]
Tb 0.2743 0.4262 0.9520 [2 per cell]
Tb 0.3235 0.7723 0.8497 [2 per cell]
Er 0.0239 0.6751 0.4486 [2 per cell]
Er 0.1289 0.3791 0.2504 [2 per cell]
Er 0.2266 0.0751 0.0519 [2 per cell]
Er 0.3783 0.1275 0.7496 [2 per cell]
Er 0.4743 0.8227 0.5479 [2 per cell]
Sc 0.1727 0.7228 0.1490 [2 per cell]
Sc 0.4266 0.4763 0.6476 [2 per cell]